Rb3Ho2FeO6: optimized geometry, PBE with a Hubbard U.

Cell: 5.867 5.867 6.792 Å, 98.26 98.26 119.97°
Last column: magnetic moment on the atom in μB.
Element x y z (fractional)
O1 0.372 0.057 0.171  0.08
O2 0.628 0.943 0.829  0.08
O3 0.057 0.372 0.171  0.08
O4 0.943 0.628 0.829  0.08
O5 0.742 0.742 0.172  0.08
O6 0.258 0.258 0.828  0.08
Rb1 0.835 0.165 0.500  0.00
Rb2 0.165 0.835 0.500  0.00
Rb3 0.500 0.500 0.500  0.00
Ho1 0.667 0.333 0.000  0.01
Ho2 0.333 0.667 0.000  0.01
Fe1 0.000 0.000 0.000  4.29

- total moment (μB/f.u.) = 4.908
- VASP energy (eV/atom) = -6.18